Computed, not measured: MgPaAs2 after structural relaxation at the PBE-GGA level of DFT.

Geometry as POSCAR:
```
MgPaAs2
1.0
3.665 0.000 0.000
0.000 4.729 0.000
0.000 0.000 4.729
As Pa Mg
2 1 1
Cartesian
0.000 2.364 0.000
0.000 0.000 2.364
1.832 0.000 0.000
1.832 2.364 2.364
```

Size of the total moment (μB per cell): 0.00
Crystal system: tetragonal
E (eV per atom): -5.84
Energy of formation (eV/atom): -0.7378

=====

Computed, not measured: Ta4Mo2Os after structural relaxation at the PBE-GGA level of DFT.

Geometry as POSCAR:
```
Ta4Mo2Os
1.0
-4.082 -2.250 -2.912
3.305 2.871 -3.323
2.952 -3.944 2.436
Os Ta Mo
1 4 2
Cartesian
0.000 0.000 0.000
-2.041 -1.125 -1.456
1.652 1.435 -1.662
1.476 -1.972 1.218
1.087 -1.662 -1.899
-0.389 0.310 -3.118
-0.565 -3.097 -0.238
```

Size of the total moment (μB per cell): 0.00
Crystal system: tetragonal
E (eV per atom): -11.45
Energy of formation (eV/atom): 0.0231

=====

Computed, not measured: YNpS2 after structural relaxation at the PBE-GGA level of DFT.

Geometry as POSCAR:
```
YNpS2
1.0
3.923 0.000 0.000
1.961 3.397 0.000
1.961 1.132 6.360
S Np Y
2 1 1
Cartesian
5.884 3.397 4.777
1.961 1.132 1.583
0.000 0.000 0.000
3.923 2.265 3.180
```

Size of the total moment (μB per cell): 4.33
Crystal system: trigonal
E (eV per atom): -8.61

=====

Computed, not measured: GeSeBr2 after structural relaxation at the PBE-GGA level of DFT.

Geometry as POSCAR:
```
GeSeBr2
1.0
5.419 -5.182 5.885
7.138 -5.767 2.578
7.917 -2.671 4.587
Br Ge Se
2 1 1
Cartesian
18.449 -12.273 11.759
2.024 -1.347 1.290
10.237 -6.810 6.525
0.000 0.000 0.000
```

Size of the total moment (μB per cell): 0.65
Crystal system: trigonal
E (eV per atom): -2.71

=====

Computed, not measured: YAlSe2O after structural relaxation at the PBE-GGA level of DFT.

Geometry as POSCAR:
```
YAlSe2O
1.0
-3.323 -0.692 4.056
-2.558 -0.687 -2.213
1.251 -5.136 0.149
Y O Se Al
1 1 2 1
Cartesian
-2.315 -3.258 0.996
0.000 0.000 0.000
-1.661 -0.346 2.028
0.626 -2.568 0.074
-1.279 -0.344 -1.106
```

Size of the total moment (μB per cell): 0.00
Crystal system: tetragonal
E (eV per atom): -5.35

=====

Computed, not measured: Na2Hf3Se6 after structural relaxation at the PBE-GGA level of DFT.

Geometry as POSCAR:
```
Na2Hf3Se6
1.0
-1.410 6.379 0.158
-6.048 1.973 1.496
1.348 2.356 7.104
Se Na Hf
6 2 3
Cartesian
-5.051 7.735 2.716
-3.569 5.752 6.599
0.011 6.544 5.659
-2.541 4.957 2.158
-0.074 2.191 1.603
-1.059 2.974 6.042
-2.516 7.152 4.182
-3.594 3.557 4.576
-4.962 5.570 1.100
0.000 0.000 0.000
-2.495 2.782 0.554
```

Size of the total moment (μB per cell): 0.00
Crystal system: monoclinic
E (eV per atom): -6.17

=====

Computed, not measured: Ac2ZnNi3As4 after structural relaxation at the PBE-GGA level of DFT.

Geometry as POSCAR:
```
Ac2ZnNi3As4
1.0
4.391 0.000 0.000
0.000 4.391 0.000
0.000 0.000 9.815
Ac Ni As Zn
2 3 4 1
Cartesian
2.195 0.000 2.408
0.000 2.195 7.407
0.000 0.000 4.908
0.000 2.195 1.072
2.195 0.000 8.744
0.000 2.195 3.560
2.195 0.000 6.255
0.000 0.000 0.000
2.195 2.195 0.000
2.195 2.195 4.908
```

Size of the total moment (μB per cell): 0.00
Crystal system: tetragonal
E (eV per atom): -5.30
Energy of formation (eV/atom): -0.7546

=====

Computed, not measured: BaSc2Ti2O7 after structural relaxation at the PBE-GGA level of DFT.

Geometry as POSCAR:
```
BaSc2Ti2O7
1.0
-2.733 0.988 3.043
-1.998 -3.653 -0.609
7.436 -2.403 4.549
O Sc Ti Ba
7 2 2 1
Cartesian
0.124 -3.166 4.048
-0.023 -0.496 3.050
2.360 -2.252 5.760
2.728 -4.572 3.934
2.581 -1.901 2.935
-2.365 -1.332 1.217
0.345 -2.816 1.223
-1.175 -2.210 2.571
3.880 -2.858 4.412
1.169 -1.374 4.405
1.536 -3.694 2.579
0.000 0.000 0.000
```

Size of the total moment (μB per cell): 0.00
Crystal system: tetragonal
E (eV per atom): -8.54